A plane-wave DFT calculation with PBE was carried out for a relaxed structure of NaSr3Bi.

```
5
Lattice="6.191 0.000 0.000 0.000 6.191 0.000 0.000 0.000 6.191" Properties=species:S:1:pos:R:3 pbc="T T T"
Na 0.000 0.000 0.000
Sr 0.000 0.000 3.096
Sr 0.000 3.096 0.000
Sr 3.096 0.000 0.000
Bi 3.096 3.096 3.096
```

Properties
* E: -1.84 eV/atom
* size of the total moment: 0.00 Bohr magnetons per cell
* energy relative to the elements: 0.210 eV/atom
* calculated volume: 237.3 Å³/f.u.

***

A plane-wave DFT calculation with PBE was carried out for a relaxed structure of NaSrBiTe3.

```
12
Lattice="9.262 0.000 0.000 0.000 4.640 0.000 -2.807 0.000 9.766" Properties=species:S:1:pos:R:3 pbc="T T T"
Na 0.634 1.160 0.984
Na 5.820 3.480 8.782
Sr -0.051 1.160 7.415
Sr 6.506 3.480 2.352
Bi 1.900 3.480 3.480
Bi 4.554 1.160 6.286
Te -0.244 1.160 3.916
Te 2.330 3.480 0.045
Te 2.312 3.480 6.485
Te 4.142 1.160 3.281
Te 4.124 1.160 9.721
Te 6.699 3.480 5.850
```

Properties
* E: -3.53 eV/atom
* size of the total moment: 0.00 Bohr magnetons per cell
* formation energy without anion corrections: -4.9 eV per formula unit
* calculated volume: 209.8 Å³/f.u.

***

A plane-wave DFT calculation with PBE was carried out for a relaxed structure of Na2SrTl2Bi2.

```
7
Lattice="2.742 1.583 8.900 -2.742 1.583 8.900 0.000 -3.166 8.900" Properties=species:S:1:pos:R:3 pbc="T T T"
Na 0.000 0.000 3.731
Na 0.000 0.000 22.968
Sr 0.000 0.000 0.000
Tl 0.000 0.000 11.566
Tl 0.000 0.000 15.133
Bi 0.000 0.000 6.988
Bi 0.000 0.000 19.710
```

Properties
* E: -2.73 eV/atom
* size of the total moment: 0.00 Bohr magnetons per cell
* energy relative to the elements: -0.326 eV/atom
* calculated volume: 231.8 Å³/f.u.

***

A plane-wave DFT calculation with PBE was carried out for a relaxed structure of NaSrTlBi.

```
4
Lattice="5.286 -2.670 0.000 5.286 2.670 0.000 -2.689 0.000 4.612" Properties=species:S:1:pos:R:3 pbc="T T T"
Na 0.000 0.000 0.000
Sr 3.941 0.000 2.306
Tl 7.259 0.000 1.149
Bi 0.624 0.000 3.463
```

Properties
* E: -2.75 eV/atom
* size of the total moment: 0.00 Bohr magnetons per cell
* energy relative to the elements: -0.433 eV/atom
* calculated volume: 130.2 Å³/f.u.